(1)
Entry from the Alexandria database: crystalline Er8TmHg2 at its relaxed geometry (PBE).

abc: 8.7988 14.6843 5.4402
angles: 90.00 110.35 90.00
With the nearest neighbours (Å) after each atom.
Space group C2/m (No. 12)
Unique sites:
Er 0.0000 0.2244 0.0000 [4 per cell]  2 Hg 2.98, 1 Tm 3.29
Er 0.1051 0.5000 0.8002 [4 per cell]  4 Er 3.14-3.51, 2 Hg 3.24, 1 Tm 3.26
Er 0.2052 0.1147 0.6062 [8 per cell]  2 Hg 3.07-3.30, 2 Er 3.37-3.39
Tm 0.0000 0.0000 0.0000 [2 per cell]  8 Er 3.26-3.58
Hg 0.0000 0.3072 0.5000 [4 per cell]  8 Er 2.98-3.30

---

(2)
Entry from the Alexandria database: crystalline Er3TmHg4 at its relaxed geometry (PBE).

abc: 3.6864 3.6864 14.7575
angles: 90.00 90.00 90.00
With the nearest neighbours (Å) after each atom.
Space group P4/mmm (No. 123)
Unique sites:
Er 0.0000 0.0000 0.0000 [1 per cell]  8 Hg 3.19
Er 0.0000 0.0000 0.2507 [2 per cell]  8 Hg 3.20
Tm 0.0000 0.0000 0.5000 [1 per cell]  8 Hg 3.18
Hg 0.5000 0.5000 0.1251 [2 per cell]  8 Er 3.19-3.20
Hg 0.5000 0.5000 0.3763 [2 per cell]  4 Tm 3.18, 4 Er 3.20

## Properties
As for the energy above the most stable polymorph in this dataset: 0.00 kcal/mol of atoms.

---

(3)
Entry from the Alexandria database: crystalline Er3TmHg6 at its relaxed geometry (PBE).

abc: 9.0791 5.1150 11.0143
angles: 90.00 106.69 90.00
With the nearest neighbours (Å) after each atom.
Space group P2_1/m (No. 11)
Unique sites:
Er 0.0194 0.2500 0.3881 [2 per cell]  8 Hg 3.01-3.33
Er 0.1467 0.7500 0.2025 [2 per cell]  8 Hg 3.05-3.20
Er 0.2695 0.2500 0.9922 [2 per cell]  8 Hg 3.05-3.38
Tm 0.4401 0.2500 0.6073 [2 per cell]  8 Hg 3.04-3.24
Hg 0.0361 0.7500 0.9093 [2 per cell]  7 Er 3.09-3.28, 3 Hg 3.42-3.45
Hg 0.1522 0.2500 0.6994 [2 per cell]  5 Er 3.01-3.29, 1 Tm 3.06, 2 Hg 3.18
Hg 0.2569 0.7500 0.4915 [2 per cell]  4 Er 3.05-3.33, 3 Tm 3.12-3.24, 1 Hg 3.29
Hg 0.3397 0.2500 0.3110 [2 per cell]  3 Tm 3.13-3.21, 4 Er 3.14-3.38, 3 Hg 3.32-3.45
Hg 0.3589 0.7500 0.8032 [2 per cell]  8 Hg 3.15-3.45, 2 Er 3.48
Hg 0.4368 0.7500 0.1052 [2 per cell]  1 Tm 3.04, 4 Er 3.05-3.15, 3 Hg 3.15-3.20

---

(4)
Entry from the Alexandria database: crystalline Er3TmHg12 at its relaxed geometry (PBE).

abc: 4.4481 4.4481 19.5353
angles: 90.00 90.00 90.00
With the nearest neighbours (Å) after each atom.
Space group P4/mmm (No. 123)
Unique sites:
Er 0.0000 0.0000 0.0000 [1 per cell]  12 Hg 3.15-3.31
Er 0.0000 0.0000 0.2504 [2 per cell]  12 Hg 3.15-3.31
Tm 0.0000 0.0000 0.5000 [1 per cell]  12 Hg 3.15-3.30
Hg 0.0000 0.5000 0.1252 [4 per cell]  8 Hg 3.15-3.31, 4 Er 3.31
Hg 0.0000 0.5000 0.3754 [4 per cell]  8 Hg 3.15-3.31, 2 Tm 3.30, 2 Er 3.30
Hg 0.5000 0.5000 0.0000 [1 per cell]  4 Er 3.15, 8 Hg 3.31
Hg 0.5000 0.5000 0.2503 [2 per cell]  4 Er 3.15, 8 Hg 3.30-3.31
Hg 0.5000 0.5000 0.5000 [1 per cell]  4 Tm 3.15, 8 Hg 3.30

---

Number 1: uncorrected energy -84.1 eV per cell, calculated formation energy -4.2 kJ/mol of atoms. Number 2: uncorrected energy -23.2 eV per cell, calculated formation energy -46.2 kJ/mol of atoms. Number 3: uncorrected energy -48.2 eV per cell, calculated formation energy -39.9 kJ/mol of atoms. Number 4: uncorrected energy -26.3 eV per cell, calculated formation energy -27.3 kJ/mol of atoms.